Nd2DyCo2: optimized geometry, GGA-PBE.

Calculated values
Energy of formation: -0.09 eV per atom
Size of the total moment: 0.0 μB per cell
Crystal system: monoclinic
Density of states at the Fermi level: 4.909 states/eV/f.u.
Raw total energy: -5.76 eV/atom

Cell: 10.855 6.104 7.373 Å, 90.00 102.45 90.00°
Space group C2/c (No. 15)
Inequivalent atoms, fractional coordinates:
Nd  0.156  0.110  0.149 (multiplicity 8)
Dy  0.000  0.422  0.750 (multiplicity 4)
Co  0.167  0.354  0.516 (multiplicity 8)

CoHg2Pb: optimized geometry, GGA-PBE.

Calculated values
Energy of formation: 0.49 eV per atom
Size of the total moment: 2.8 μB per cell
Crystal system: tetragonal
Density of states at the Fermi level: 4.651 states/eV/f.u.
Raw total energy: -2.36 eV/atom

Cell: 4.181 4.181 9.843 Å, 90.00 90.00 90.00°
Space group I4/mmm (No. 139)
Inequivalent atoms, fractional coordinates:
Co  0.000  0.000  0.000 (multiplicity 2)
Hg  0.000  0.500  0.250 (multiplicity 4)
Pb  0.000  0.000  0.500 (multiplicity 2)